Record 1
The following is a DFT calculation (PBE) of an optimized crystal structure of PmSmAlCo.

Cell and atoms, written as POSCAR:
```
PmSmAlCo
1.0
0.000 3.598 3.598
3.598 0.000 3.598
3.598 3.598 0.000
Pm Sm Al Co
1 1 1 1
direct
0.000 0.000 0.000
0.500 0.500 0.500
0.250 0.250 0.250
0.750 0.750 0.750
```

Summary:
- Crystal system: cubic
- Fermi-level density of states: 2.739 states/eV per cell
- Size of the total moment: 0.254 μB per atom
- Total DFT energy (no corrections): -5.1889 eV per atom
- ΔH_f (0 K): -0.11 eV per atom

---

Record 2
The following is a DFT calculation (PBE) of an optimized crystal structure of MgSc4Al2.

Cell and atoms, written as POSCAR:
```
MgSc4Al2
1.0
-2.640 2.640 5.934
2.640 -2.640 5.934
2.640 2.640 -5.934
Mg Sc Al
1 4 2
direct
0.000 0.000 0.000
0.000 0.500 0.500
0.250 0.750 0.500
0.500 0.000 0.500
0.750 0.250 0.500
0.382 0.382 0.000
0.618 0.618 0.000
```

Summary:
- Crystal system: tetragonal
- Fermi-level density of states: 7.508 states/eV per cell
- Size of the total moment: 0.136 μB per atom
- Relative energy among the computed polymorphs: 0.392 eV/atom
- Total DFT energy (no corrections): -4.7234 eV per atom
- ΔH_f (0 K): 0.19 eV per atom

---

Record 3
The following is a DFT calculation (PBE) of an optimized crystal structure of LaMg2.

Cell and atoms, written as POSCAR:
```
LaMg2
1.0
-1.735 1.735 6.968
1.735 -1.735 6.968
1.735 1.735 -6.968
La Mg
1 2
direct
0.000 0.000 0.000
0.320 0.320 0.000
0.680 0.680 0.000
```

Summary:
- Crystal system: tetragonal
- Fermi-level density of states: 2.563 states/eV per cell
- Size of the total moment: 0.000 μB per atom
- Total DFT energy (no corrections): -2.7761 eV per atom
- ΔH_f (0 K): -0.07 eV per atom

---

Record 4
The following is a DFT calculation (PBE) of an optimized crystal structure of In2GaF8.

Cell and atoms, written as POSCAR:
```
In2GaF8
1.0
4.657 -3.545 0.000
4.657 3.545 0.000
-1.432 0.000 4.368
In Ga F
2 1 8
direct
0.165 0.165 0.364
0.835 0.835 0.636
0.500 0.500 0.000
0.086 0.086 0.794
0.174 0.551 0.739
0.372 0.372 0.242
0.449 0.826 0.261
0.551 0.174 0.739
0.628 0.628 0.758
0.826 0.449 0.261
0.914 0.914 0.206
```

Summary:
- Crystal system: monoclinic
- Fermi-level density of states: 1.430 states/eV per cell
- Size of the total moment: 0.000 μB per atom
- Uncorrected formation energy: -2.396 eV per atom
- Total DFT energy (no corrections): -4.5304 eV per atom

---

Record 5
The following is a DFT calculation (PBE) of an optimized crystal structure of ZrCuNi2.

Cell and atoms, written as POSCAR:
```
ZrCuNi2
1.0
1.397 0.807 8.431
-1.397 0.807 8.431
0.000 -1.613 8.431
Zr Cu Ni
1 1 2
direct
0.000 0.000 0.000
0.500 0.500 0.500
0.244 0.244 0.244
0.756 0.756 0.756
```

Summary:
- Crystal system: trigonal
- Fermi-level density of states: 3.423 states/eV per cell
- Size of the total moment: 0.000 μB per atom
- Total DFT energy (no corrections): -5.8902 eV per atom
- ΔH_f (0 K): 0.16 eV per atom

---

Record 6
The following is a DFT calculation (PBE) of an optimized crystal structure of Pm3ThMg2.

Cell and atoms, written as POSCAR:
```
Pm3ThMg2
1.0
3.667 0.000 0.000
0.000 3.667 0.000
0.000 0.000 13.514
Pm Th Mg
3 1 2
direct
0.000 0.000 0.000
0.000 0.000 0.323
0.000 0.000 0.677
0.500 0.500 0.500
0.500 0.500 0.160
0.500 0.500 0.840
```

Summary:
- Crystal system: tetragonal
- Fermi-level density of states: 6.612 states/eV per cell
- Size of the total moment: 0.015 μB per atom
- Total DFT energy (no corrections): -4.2025 eV per atom
- ΔH_f (0 K): -0.06 eV per atom

---

Record 7
The following is a DFT calculation (PBE) of an optimized crystal structure of NaTi2TcO8.

Cell and atoms, written as POSCAR:
```
NaTi2TcO8
1.0
4.697 0.000 0.000
0.000 6.206 0.000
-0.143 0.000 4.704
Na Ti Tc O
1 2 1 8
direct
0.000 0.000 0.000
0.500 0.232 0.500
0.500 0.768 0.500
0.000 0.500 0.000
0.208 0.290 0.206
0.208 0.710 0.206
0.289 0.500 0.709
0.321 0.000 0.676
0.679 0.000 0.324
0.711 0.500 0.291
0.792 0.290 0.794
0.792 0.710 0.794
```

Summary:
- Crystal system: monoclinic
- Size of the total moment: 0.000 μB per atom
- Uncorrected formation energy: -2.113 eV per atom
- Total DFT energy (no corrections): -7.7080 eV per atom

---

Record 8
The following is a DFT calculation (PBE) of an optimized crystal structure of AcIn2Te4.

Cell and atoms, written as POSCAR:
```
AcIn2Te4
1.0
6.571 0.000 0.000
0.000 6.571 0.000
0.000 0.000 7.329
Ac In Te
1 2 4
direct
0.000 0.000 0.000
0.000 0.500 0.500
0.500 0.000 0.500
0.278 0.278 0.262
0.278 0.722 0.738
0.722 0.278 0.738
0.722 0.722 0.262
```

Summary:
- Crystal system: tetragonal
- Fermi-level density of states: 3.274 states/eV per cell
- Size of the total moment: 0.000 μB per atom
- Uncorrected formation energy: -0.547 eV per atom
- Total DFT energy (no corrections): -3.7114 eV per atom